Entry from the Alexandria database: an optimized crystal structure of TaAsPb4 (PBE-GGA).

Cell and atoms, written as POSCAR:
```
TaAsPb4
1.0
0.0000 4.3906 4.3906
4.3906 0.0000 4.3906
4.3906 4.3906 0.0000
Pb Ta As
4 1 1
Cartesian
3.2969 5.4843 5.4843 Pb
5.4843 3.2969 5.4843 Pb
3.2969 3.2969 3.2969 Pb
5.4843 5.4843 3.2969 Pb
6.5859 6.5859 6.5859 Ta
0.0000 0.0000 0.0000 As
```

Values from the calculation:
V in Å³ per cell: 169
Total moment in μB/cell: 0.921
Formation enthalpy at 0 K in eV per atom: 0.956